Computed, not measured: a PBEsol-optimized structure of Zr3Cu4P2 at the meta-GGA SCAN level of DFT.

Cell: 3.895 6.226 6.226 Å, 120.00 90.00 90.00°
Fractional coordinates of all 9 atoms:
Cu 0.500 0.000 0.000
Zr 0.500 0.583 0.000
P 0.000 0.333 0.667
Cu 0.000 0.247 0.000
Cu 0.000 0.753 0.753
Zr 0.500 0.417 0.417
Cu 0.000 0.000 0.247
P 0.000 0.667 0.333
Zr 0.500 0.000 0.583

Results
final energy	-180.5	eV per formula unit
DOS at the Fermi energy	3.26	states/eV/f.u.
formation enthalpy at 0 K	-761	meV/atom
calculated density	7.49	g/cm³